Entry 1:
A relaxed Pr8Os3SBr3 crystal, computed with PBE.

Output
electronic total energy: -92.05 eV per cell
formation energy (no corrections): -732 meV per atom

Geometry as POSCAR:
```
Pr8Os3SBr3
1.0
4.232 2.444 7.522
-4.232 2.444 7.522
0.000 -4.887 7.522
Pr Os S Br
8 3 1 3
Direct
0.219 0.741 0.741
0.235 0.235 0.235
0.259 0.259 0.781
0.259 0.781 0.259
0.741 0.219 0.741
0.741 0.741 0.219
0.765 0.765 0.765
0.781 0.259 0.259
0.000 0.000 0.500
0.000 0.500 0.000
0.500 0.000 0.000
0.500 0.500 0.500
0.000 0.500 0.500
0.500 0.000 0.500
0.500 0.500 0.000
```

***

Entry 2:
A relaxed PmSm2Pu crystal, computed with PBE.

Output
E_form: 14.6 kJ/mol of atoms
electronic total energy: -27.92 eV per cell
relative energy among the computed polymorphs: 0.16 eV per formula unit

Geometry as POSCAR:
```
PmSm2Pu
1.0
5.053 0.000 0.000
0.000 5.053 0.000
0.000 0.000 5.061
Pm Sm Pu
1 2 1
Direct
0.000 0.000 0.000
0.000 0.500 0.500
0.500 0.000 0.500
0.500 0.500 0.000
```

***

Entry 3:
A relaxed CrNi2Pt crystal, computed with PBE.

Output
E_form: 1.5 kJ/mol of atoms
electronic total energy: -108.66 eV per cell

Geometry as POSCAR:
```
CrNi2Pt
1.0
5.894 0.000 0.000
0.000 5.894 0.000
0.000 0.000 5.894
Cr Ni Pt
4 8 4
Direct
0.000 0.000 0.000
0.000 0.500 0.500
0.500 0.000 0.500
0.500 0.500 0.000
0.000 0.000 0.500
0.000 0.500 0.000
0.250 0.250 0.750
0.250 0.750 0.250
0.500 0.000 0.000
0.500 0.500 0.500
0.750 0.250 0.250
0.750 0.750 0.750
0.250 0.250 0.250
0.250 0.750 0.750
0.750 0.250 0.750
0.750 0.750 0.250
```

***

Entry 4:
A relaxed YTlCl2 crystal, computed with PBE.

Output
electronic total energy: -16.10 eV per cell
relative energy among the computed polymorphs: 1.78 eV per formula unit
formation energy (no corrections): -894 meV per atom

Geometry as POSCAR:
```
YTlCl2
1.0
4.670 0.000 0.000
0.000 4.670 0.000
0.000 0.000 4.538
Y Tl Cl
1 1 2
Direct
0.000 0.000 0.000
0.500 0.500 0.000
0.000 0.500 0.500
0.500 0.000 0.500
```

***

Entry 5:
A relaxed TbY3Tm2As6 crystal, computed with PBE.

Output
E_form: -148.2 kJ/mol of atoms
electronic total energy: -79.29 eV per cell

Geometry as POSCAR:
```
TbY3Tm2As6
1.0
3.557 -6.159 0.000
3.557 6.159 0.000
-2.369 0.000 6.706
Tb Y Tm As
1 3 2 6
Direct
0.000 0.000 0.000
0.166 0.834 0.500
0.500 0.500 0.500
0.834 0.166 0.500
0.333 0.667 0.000
0.667 0.333 0.000
0.083 0.418 0.248
0.254 0.254 0.753
0.418 0.083 0.248
0.582 0.917 0.752
0.746 0.746 0.247
0.917 0.582 0.752
```

***

Entry 6:
A relaxed LaCuRe2 crystal, computed with PBE.

Output
E_form: 11.7 kJ/mol of atoms
electronic total energy: -100.31 eV per cell
relative energy among the computed polymorphs: 0.00 eV per formula unit

Geometry as POSCAR:
```
LaCuRe2
1.0
4.319 0.000 0.000
-2.159 3.740 0.000
0.000 0.000 15.840
La Cu Re
3 3 6
Direct
0.000 0.000 0.000
0.333 0.667 0.667
0.667 0.333 0.333
0.000 0.000 0.796
0.333 0.667 0.463
0.667 0.333 0.130
0.000 0.000 0.197
0.000 0.000 0.508
0.333 0.667 0.175
0.333 0.667 0.864
0.667 0.333 0.530
0.667 0.333 0.841
```

***

Results for V: 31.12, 32.30, 12.80, 24.75, 24.48, 21.32 (in A^3/atom, following the order of the records).